No. 1
Crystalline LaBePd at its relaxed geometry, computed with PBE.

Summary:
- energy relative to the lowest polymorph listed for this composition (eV/atom) = 0.044
- total magnetization (μB per formula unit) = 0.000
- calculated volume (Å³ per cell) = 64.9
- E (eV per atom) = -4.657
- SG = F-43m

Cell: 4.5096 4.5096 4.5096 Å, 60.00 60.00 60.00°
Atoms (fractional coordinates):
La (0.0000, 0.0000, 0.0000)
Be (0.2500, 0.2500, 0.2500)
Pd (0.5000, 0.5000, 0.5000)

No. 2
Crystalline LaScBePd at its relaxed geometry, computed with PBE.

Summary:
- energy relative to the lowest polymorph listed for this composition (eV/atom) = 0.094
- total magnetization (μB per formula unit) = 0.000
- calculated volume (Å³ per cell) = 75.6
- E (eV per atom) = -5.186
- SG = F-43m

Cell: 4.7453 4.7453 4.7453 Å, 60.00 60.00 60.00°
Atoms (fractional coordinates):
La (0.0000, 0.0000, 0.0000)
Sc (0.2500, 0.2500, 0.2500)
Be (0.5000, 0.5000, 0.5000)
Pd (0.7500, 0.7500, 0.7500)

No. 3
Crystalline LaScBePd at its relaxed geometry, computed with PBE.

Summary:
- energy relative to the lowest polymorph listed for this composition (eV/atom) = 0.092
- total magnetization (μB per formula unit) = 0.000
- calculated volume (Å³ per cell) = 74.9
- E (eV per atom) = -5.188
- SG = F-43m

Cell: 4.7312 4.7312 4.7312 Å, 60.00 60.00 60.00°
Atoms (fractional coordinates):
La (0.0000, 0.0000, 0.0000)
Sc (0.7500, 0.7500, 0.7500)
Be (0.2500, 0.2500, 0.2500)
Pd (0.5000, 0.5000, 0.5000)

No. 4
Crystalline LaScBePd at its relaxed geometry, computed with PBE.

Summary:
- energy relative to the lowest polymorph listed for this composition (eV/atom) = 0.000
- total magnetization (μB per formula unit) = 0.001
- calculated volume (Å³ per cell) = 84.0
- E (eV per atom) = -5.280
- SG = F-43m

Cell: 4.9152 4.9152 4.9152 Å, 60.00 60.00 60.00°
Atoms (fractional coordinates):
La (0.0000, 0.0000, 0.0000)
Sc (0.5000, 0.5000, 0.5000)
Be (0.7500, 0.7500, 0.7500)
Pd (0.2500, 0.2500, 0.2500)

No. 5
Crystalline LaYBePd at its relaxed geometry, computed with PBE.

Summary:
- energy relative to the lowest polymorph listed for this composition (eV/atom) = 0.160
- total magnetization (μB per formula unit) = 0.000
- calculated volume (Å³ per cell) = 81.2
- E (eV per atom) = -5.190
- SG = F-43m

Cell: 4.8598 4.8598 4.8598 Å, 60.00 60.00 60.00°
Atoms (fractional coordinates):
La (0.0000, 0.0000, 0.0000)
Y (0.2500, 0.2500, 0.2500)
Be (0.5000, 0.5000, 0.5000)
Pd (0.7500, 0.7500, 0.7500)

No. 6
Crystalline LaYBePd at its relaxed geometry, computed with PBE.

Summary:
- energy relative to the lowest polymorph listed for this composition (eV/atom) = 0.000
- total magnetization (μB per formula unit) = 0.000
- calculated volume (Å³ per cell) = 91.0
- E (eV per atom) = -5.350
- SG = F-43m

Cell: 5.0490 5.0490 5.0490 Å, 60.00 60.00 60.00°
Atoms (fractional coordinates):
La (0.0000, 0.0000, 0.0000)
Y (0.5000, 0.5000, 0.5000)
Be (0.7500, 0.7500, 0.7500)
Pd (0.2500, 0.2500, 0.2500)

No. 7
Crystalline LaPmBe at its relaxed geometry, computed with PBE.

Summary:
- total magnetization (μB per formula unit) = 0.004
- calculated volume (Å³ per cell) = 83.9
- E (eV per atom) = -3.725
- SG = F-43m

Cell: 4.9139 4.9139 4.9139 Å, 60.00 60.00 60.00°
Atoms (fractional coordinates):
La (0.0000, 0.0000, 0.0000)
Pm (0.7500, 0.7500, 0.7500)
Be (0.5000, 0.5000, 0.5000)

No. 8
Crystalline LaBePt at its relaxed geometry, computed with PBE.

Summary:
- energy relative to the lowest polymorph listed for this composition (eV/atom) = 0.594
- total magnetization (μB per formula unit) = 0.001
- calculated volume (Å³ per cell) = 77.3
- E (eV per atom) = -4.625
- SG = F-43m

Cell: 4.7812 4.7812 4.7812 Å, 60.00 60.00 60.00°
Atoms (fractional coordinates):
La (0.0000, 0.0000, 0.0000)
Be (0.2500, 0.2500, 0.2500)
Pt (0.7500, 0.7500, 0.7500)